## 1
The following is a DFT calculation (PBE) of a geometry-optimized Ho4MgCd2 structure.

Cell and atoms, written as POSCAR:
```
Ho4MgCd2
1.0
4.992 0.000 1.560
2.252 4.455 1.560
-0.002 -0.001 8.774
Ho Mg Cd
4 1 2
Cartesian
6.285 3.865 6.191
0.958 0.589 5.702
4.428 2.723 3.364
2.815 1.731 8.529
0.000 0.000 0.000
5.363 3.298 9.142
1.880 1.156 2.751
```

Values from the calculation:
Symmetry: No. 166
Size of the total moment, μB per atom: 0.000
D(E_F), states/eV/cell: 8.75

***

## 2
The following is a DFT calculation (PBE) of a geometry-optimized Ho4MgCd2 structure.

Cell and atoms, written as POSCAR:
```
Ho4MgCd2
1.0
-4.020 -1.041 3.294
0.939 -0.819 5.151
-1.975 7.852 4.335
Ho Mg Cd
4 1 2
Cartesian
-2.892 6.249 6.973
-1.346 2.226 3.326
-3.710 3.766 9.454
-2.164 -0.256 5.806
0.000 0.000 0.000
-1.683 5.243 3.867
-3.373 0.749 8.913
```

Values from the calculation:
Symmetry: No. 166
Size of the total moment, μB per atom: 0.000
D(E_F), states/eV/cell: 11.87

***

We find 1 to be the most stable, with the next structure 182 meV per atom higher.